This record from Alexandria describes a relaxed structure of LiZn2CoO4. The functional is PBE with a Hubbard U.

Cell: 4.6458 4.6458 8.6530 Å, 90.00 90.00 90.00°
With the nearest neighbours (Å) after each atom.
Space group I-42m (No. 121)
Unique sites:
Li (0.0000, 0.0000, 0.0000) x2  4 O 1.99
Zn (0.0000, 0.5000, 0.2500) x4  4 O 2.00
Co (0.0000, 0.0000, 0.5000) x2  4 O 1.89
O (0.2405, 0.2405, 0.3808) x8  1 Co 1.89, 1 Li 1.99, 2 Zn 2.00

Properties
**E_tot**: -5.05 eV/atom